Record 1
Entry from the Alexandria database: a relaxed Dy2Pt2Rh crystal (PBE).

abc: 5.8613 6.1364 7.4865
angles: 114.19 113.05 90.00
Sites, in units of the cell vectors:
Pt 0.1274 0.3636 0.2549
Dy 0.6466 0.3656 0.2931
Rh 0.7500 0.5000 0.0000
Pt 0.3726 0.1087 0.7451
Dy 0.1466 0.9276 0.2931
Rh 0.2500 0.5000 0.0000
Dy 0.3534 0.6344 0.7069
Pt 0.8726 0.6364 0.7451
Pt 0.6274 0.8913 0.2549
Dy 0.8534 0.0724 0.7069

Computed properties:
Total magnetic moment   0.00 μB/atom
Total DFT energy (no corrections)   -66.11 eV for the cell shown
Fermi-level density of states   5.32 states/eV/cell
Space-group type   Ibam, No. 72

Record 2
Entry from the Alexandria database: a relaxed HfPBrCl2 crystal (PBE).

abc: 4.8569 4.8569 5.4206
angles: 90.00 90.00 90.00
Sites, in units of the cell vectors:
Hf 0.5000 0.5000 0.5000
P 0.0000 0.0000 0.5000
Br 0.0000 0.0000 0.0000
Cl 0.0000 0.5000 0.0000
Cl 0.5000 0.0000 0.0000

Computed properties:
Total magnetic moment   0.21 μB/atom
Polymorph energy (0 for the lowest one)   1.580 eV/atom
Total DFT energy (no corrections)   -15.96 eV for the cell shown
Fermi-level density of states   2.50 states/eV/cell
Formation energy without anion corrections   0.954 eV per atom
Space-group type   P4/mmm, No. 123

Record 3
Entry from the Alexandria database: a relaxed K3Na5Pb2 crystal (PBE).

abc: 5.4796 12.2538 12.2538
angles: 90.00 90.00 90.00
Sites, in units of the cell vectors:
Na 0.5000 0.5000 0.0000
K 0.0000 0.1884 0.3116
Pb 0.0000 0.1007 0.6007
Na 0.5000 0.0000 0.5000
K 0.0000 0.0000 0.0000
Na 0.5000 0.2331 0.0599
K 0.0000 0.3116 0.8116
Na 0.5000 0.9401 0.2331
Na 0.5000 0.2669 0.5599
Pb 0.0000 0.8993 0.3993
Na 0.5000 0.4401 0.2669
K 0.0000 0.6884 0.1884
Na 0.5000 0.7669 0.9401
K 0.0000 0.8116 0.6884
Na 0.5000 0.7331 0.4401
Pb 0.0000 0.3993 0.1007
Na 0.5000 0.0599 0.7669
Pb 0.0000 0.6007 0.8993
Na 0.5000 0.5599 0.7331
K 0.0000 0.5000 0.5000

Computed properties:
Total magnetic moment   0.00 μB/atom
Polymorph energy (0 for the lowest one)   0.000 eV/atom
Total DFT energy (no corrections)   -36.23 eV for the cell shown
Fermi-level density of states   9.31 states/eV/cell
Space-group type   P4/mbm, No. 127

Record 4
Entry from the Alexandria database: a relaxed YMg3Sc crystal (PBE).

abc: 5.3023 5.3023 5.3023
angles: 90.00 90.00 90.00
Sites, in units of the cell vectors:
Mg 0.5000 0.0000 0.0000
Sc 0.0000 0.0000 0.0000
Mg 0.0000 0.0000 0.5000
Y 0.5000 0.5000 0.5000
Mg 0.0000 0.5000 0.0000

Computed properties:
Total magnetic moment   0.00 μB/atom
Polymorph energy (0 for the lowest one)   0.700 eV/atom
Total DFT energy (no corrections)   -14.11 eV for the cell shown
Fermi-level density of states   5.28 states/eV/cell
Space-group type   Pm-3m, No. 221

Record 5
Entry from the Alexandria database: a relaxed NaGaF2 crystal (PBE).

abc: 6.9787 6.9787 6.9787
angles: 26.09 26.09 26.09
Sites, in units of the cell vectors:
Ga 0.0000 0.0000 0.0000
Na 0.5000 0.5000 0.5000
F 0.1006 0.1006 0.1006
F 0.8994 0.8994 0.8994

Computed properties:
Total magnetic moment   0.00 μB/atom
Polymorph energy (0 for the lowest one)   0.000 eV/atom
Total DFT energy (no corrections)   -16.43 eV for the cell shown
Fermi-level density of states   0.55 states/eV/cell
Formation energy without anion corrections   -2.085 eV per atom
Space-group type   R-3m, No. 166

Record 6
Entry from the Alexandria database: a relaxed ScMoAu2 crystal (PBE).

abc: 4.6896 3.0017 5.0379
angles: 90.00 90.00 90.00
Sites, in units of the cell vectors:
Au 0.5000 0.1251 0.3067
Au 0.0000 0.1248 0.9519
Mo 0.0000 0.6250 0.4382
Sc 0.5000 0.6251 0.8032

Computed properties:
Total magnetic moment   0.00 μB/atom
Polymorph energy (0 for the lowest one)   0.007 eV/atom
Total DFT energy (no corrections)   -24.30 eV for the cell shown
Fermi-level density of states   4.42 states/eV/cell
Space-group type   Pmm2, No. 25